{"formula": "Sm2YTm2", "functional": "PBE", "state": "relaxed", "n_ef_per_ev_cell": 6.829, "e_above_lowest_polymorph_kj_per_mol_atoms": 0.0, "sg": "C2/m, No. 12", "vol_a3_per_cell": 159.40, "final_energy_ev_per_atom": -4.95, "lattice": [[3.386, 0.000, 1.106], [1.183, 5.656, 2.112], [-0.713, -0.583, 7.914]], "species": ["Sm", "Sm", "Y", "Tm", "Tm"], "frac_coords": [[0.802, 0.597, 0.798], [0.198, 0.403, 0.202], [0.000, 0.000, 0.000], [0.602, 0.198, 0.598], [0.398, 0.802, 0.402]]}